[1]
Entry from Alexandria: HfScCd after structural relaxation (GGA-PBE).

* crystal system: tetragonal
* space group: P4/nmm
* formation energy: -107.5 meV/atom
* energy above the most stable polymorph in this dataset: 38 meV per atom

Cell and atoms, written as extended XYZ:
```
6
Lattice="3.203 0.000 0.000 0.000 3.203 0.000 0.000 0.000 13.088" Properties=species:S:1:pos:R:3 pbc="T T T"
Hf 0.801 0.801 1.117
Hf 2.403 2.403 11.970
Sc 0.801 0.801 9.785
Sc 2.403 2.403 3.302
Cd 0.801 0.801 5.487
Cd 2.403 2.403 7.601
```

[2]
Entry from Alexandria: Hf2Sc2Cd after structural relaxation (GGA-PBE).

* crystal system: tetragonal
* space group: I4/mmm
* formation energy: -104.3 meV/atom
* energy above the most stable polymorph in this dataset: 0 meV per atom

Cell and atoms, written as extended XYZ:
```
5
Lattice="-1.605 1.605 10.928 1.605 -1.605 10.928 1.605 1.605 -10.928" Properties=species:S:1:pos:R:3 pbc="T T T"
Hf 0.000 0.000 4.357
Hf 0.000 0.000 17.499
Sc 0.000 0.000 8.755
Sc 0.000 0.000 13.101
Cd 0.000 0.000 0.000
```

[3]
Entry from Alexandria: HfSc2Cd after structural relaxation (GGA-PBE).

* crystal system: tetragonal
* space group: P4/mmm
* formation energy: -15.1 meV/atom

Cell and atoms, written as extended XYZ:
```
4
Lattice="4.482 0.000 0.000 0.000 4.482 0.000 0.000 0.000 4.453" Properties=species:S:1:pos:R:3 pbc="T T T"
Hf 0.000 0.000 0.000
Sc 0.000 2.241 2.227
Sc 2.241 0.000 2.227
Cd 2.241 2.241 0.000
```

[4]
Entry from Alexandria: Hf2ScCd2 after structural relaxation (GGA-PBE).

* crystal system: tetragonal
* space group: P4/mbm
* formation energy: 142.2 meV/atom
* energy above the most stable polymorph in this dataset: 0 meV per atom

Cell and atoms, written as extended XYZ:
```
10
Lattice="8.095 0.000 0.000 0.000 8.095 0.000 0.000 0.000 3.447" Properties=species:S:1:pos:R:3 pbc="T T T"
Hf 1.397 2.651 0.000
Hf 2.651 6.699 0.000
Hf 5.444 1.397 0.000
Hf 6.699 5.444 0.000
Sc 0.000 0.000 1.724
Sc 4.048 4.048 1.724
Cd 1.032 5.080 1.724
Cd 3.016 1.032 1.724
Cd 5.080 7.063 1.724
Cd 7.063 3.016 1.724
```

[5]
Entry from Alexandria: HfScCd2 after structural relaxation (GGA-PBE).

* crystal system: tetragonal
* space group: I-42d
* formation energy: 341.0 meV/atom
* energy above the most stable polymorph in this dataset: 436 meV per atom

Cell and atoms, written as extended XYZ:
```
8
Lattice="-3.992 3.992 2.946 3.992 -3.992 2.946 3.992 3.992 -2.946" Properties=species:S:1:pos:R:3 pbc="T T T"
Hf 0.000 0.000 0.000
Hf 0.000 3.992 1.473
Sc 3.992 0.000 1.473
Sc 0.000 0.000 2.946
Cd 5.988 1.987 -0.737
Cd 1.987 1.996 0.737
Cd -1.996 2.005 2.210
Cd 2.005 1.996 3.683
```

[6]
Entry from Alexandria: HfSc2Cd after structural relaxation (GGA-PBE).

* crystal system: trigonal
* space group: R-3m
* formation energy: -63.5 meV/atom

Cell and atoms, written as extended XYZ:
```
4
Lattice="1.613 0.931 10.253 -1.613 0.931 10.253 0.000 -1.862 10.253" Properties=species:S:1:pos:R:3 pbc="T T T"
Hf 0.000 0.000 0.000
Sc 0.000 0.000 7.718
Sc 0.000 0.000 23.042
Cd 0.000 0.000 15.380
```

[7]
Entry from Alexandria: HfSc2Cd after structural relaxation (GGA-PBE).

* crystal system: trigonal
* space group: R3m
* formation energy: -75.1 meV/atom

Cell and atoms, written as extended XYZ:
```
4
Lattice="1.629 0.940 10.146 -1.629 0.940 10.146 0.000 -1.881 10.146" Properties=species:S:1:pos:R:3 pbc="T T T"
Hf 0.000 0.000 0.000
Sc 0.000 0.000 17.781
Sc 0.000 0.000 22.799
Cd 0.000 0.000 5.066
```

[8]
Entry from Alexandria: HfScCd4 after structural relaxation (GGA-PBE).

* crystal system: cubic
* space group: F-43m
* formation energy: 14.9 meV/atom
* energy above the most stable polymorph in this dataset: 112 meV per atom

Cell and atoms, written as extended XYZ:
```
6
Lattice="0.000 4.023 4.023 4.023 0.000 4.023 4.023 4.023 0.000" Properties=species:S:1:pos:R:3 pbc="T T T"
Hf 0.000 0.000 0.000
Sc 2.012 2.012 2.012
Cd 5.030 3.017 3.017
Cd 3.017 5.030 3.017
Cd 3.017 3.017 5.030
Cd 5.030 5.030 5.030
```

[9]
Entry from Alexandria: Hf2Sc2Cd after structural relaxation (GGA-PBE).

* crystal system: tetragonal
* space group: P4/mbm
* formation energy: 222.3 meV/atom
* energy above the most stable polymorph in this dataset: 327 meV per atom

Cell and atoms, written as extended XYZ:
```
10
Lattice="8.030 0.000 0.000 0.000 8.030 0.000 0.000 0.000 3.615" Properties=species:S:1:pos:R:3 pbc="T T T"
Hf 1.030 2.985 0.000
Hf 2.985 7.000 0.000
Hf 5.045 1.030 0.000
Hf 7.000 5.045 0.000
Sc 1.352 5.367 1.807
Sc 2.663 1.352 1.807
Sc 5.367 6.678 1.807
Sc 6.678 2.663 1.807
Cd 0.000 0.000 0.000
Cd 4.015 4.015 0.000
```

[10]
Entry from Alexandria: Hf2ScCd2 after structural relaxation (GGA-PBE).

* crystal system: tetragonal
* space group: P4/mbm
* formation energy: 205.8 meV/atom
* energy above the most stable polymorph in this dataset: 64 meV per atom

Cell and atoms, written as extended XYZ:
```
10
Lattice="8.666 0.000 0.000 0.000 8.666 0.000 0.000 0.000 3.053" Properties=species:S:1:pos:R:3 pbc="T T T"
Hf 1.041 3.291 0.000
Hf 3.291 7.624 0.000
Hf 5.374 1.041 0.000
Hf 7.624 5.374 0.000
Sc 0.000 0.000 0.000
Sc 4.333 4.333 0.000
Cd 1.531 5.864 1.527
Cd 2.802 1.531 1.527
Cd 5.864 7.135 1.527
Cd 7.135 2.802 1.527
```

[11]
Entry from Alexandria: HfScCd2 after structural relaxation (GGA-PBE).

* crystal system: cubic
* space group: Fm-3m
* formation energy: -73.1 meV/atom
* energy above the most stable polymorph in this dataset: 22 meV per atom

Cell and atoms, written as extended XYZ:
```
4
Lattice="0.000 3.512 3.512 3.512 0.000 3.512 3.512 3.512 0.000" Properties=species:S:1:pos:R:3 pbc="T T T"
Hf 0.000 0.000 0.000
Sc 3.512 3.512 3.512
Cd 1.756 1.756 1.756
Cd 5.268 5.268 5.268
```

[12]
Entry from Alexandria: HfSc6Cd after structural relaxation (GGA-PBE).

* crystal system: tetragonal
* space group: P4/mmm
* formation energy: -38.6 meV/atom

Cell and atoms, written as extended XYZ:
```
8
Lattice="4.527 0.000 0.000 0.000 4.527 0.000 0.000 0.000 9.131" Properties=species:S:1:pos:R:3 pbc="T T T"
Hf 0.000 0.000 0.000
Sc 0.000 2.264 2.242
Sc 0.000 2.264 6.889
Sc 2.264 0.000 2.242
Sc 2.264 0.000 6.889
Sc 2.264 2.264 0.000
Sc 2.264 2.264 4.565
Cd 0.000 0.000 4.565
```

[13]
Entry from Alexandria: HfScCd2 after structural relaxation (GGA-PBE).

* crystal system: tetragonal
* space group: P4/mmm
* formation energy: -94.7 meV/atom
* energy above the most stable polymorph in this dataset: 0 meV per atom

Cell and atoms, written as extended XYZ:
```
4
Lattice="3.434 0.000 0.000 0.000 3.434 0.000 0.000 0.000 7.326" Properties=species:S:1:pos:R:3 pbc="T T T"
Hf 0.000 0.000 0.000
Sc 0.000 0.000 3.663
Cd 1.717 1.717 1.850
Cd 1.717 1.717 5.476
```

[14]
Entry from Alexandria: HfSc2Cd6 after structural relaxation (GGA-PBE).

* crystal system: hexagonal
* space group: P6/mmm
* formation energy: -145.2 meV/atom

Cell and atoms, written as extended XYZ:
```
9
Lattice="8.423 0.000 0.000 -4.212 7.295 0.000 0.000 0.000 3.172" Properties=species:S:1:pos:R:3 pbc="T T T"
Hf 0.000 0.000 0.000
Sc 0.000 4.863 0.000
Sc 4.212 2.432 0.000
Cd -1.402 2.428 1.586
Cd -2.810 4.867 1.586
Cd 2.803 0.000 1.586
Cd 1.402 2.428 1.586
Cd 5.620 0.000 1.586
Cd 2.810 4.867 1.586
```

[15]
Entry from Alexandria: Hf2ScCd after structural relaxation (GGA-PBE).

* crystal system: trigonal
* space group: R-3m
* formation energy: 280.4 meV/atom

Cell and atoms, written as extended XYZ:
```
4
Lattice="1.549 0.895 11.352 -1.549 0.895 11.352 0.000 -1.789 11.352" Properties=species:S:1:pos:R:3 pbc="T T T"
Hf 0.000 0.000 3.033
Hf 0.000 0.000 31.024
Sc 0.000 0.000 17.028
Cd 0.000 0.000 0.000
```

[16]
Entry from Alexandria: Hf2ScCd2 after structural relaxation (GGA-PBE).

* crystal system: tetragonal
* space group: I4/mmm
* formation energy: 245.9 meV/atom
* energy above the most stable polymorph in this dataset: 104 meV per atom

Cell and atoms, written as extended XYZ:
```
5
Lattice="-2.041 2.041 7.065 2.041 -2.041 7.065 2.041 2.041 -7.065" Properties=species:S:1:pos:R:3 pbc="T T T"
Hf 2.041 0.000 3.532
Hf 0.000 2.041 3.532
Sc 0.000 0.000 0.000
Cd 0.000 0.000 5.716
Cd 0.000 0.000 8.414
```

[17]
Entry from Alexandria: Hf2Sc3Cd after structural relaxation (GGA-PBE).

* crystal system: tetragonal
* space group: P4/mmm
* formation energy: -78.2 meV/atom

Cell and atoms, written as extended XYZ:
```
6
Lattice="3.215 0.000 0.000 0.000 3.215 0.000 0.000 0.000 13.238" Properties=species:S:1:pos:R:3 pbc="T T T"
Hf 0.000 0.000 2.302
Hf 0.000 0.000 10.936
Sc 1.608 1.608 0.000
Sc 1.608 1.608 4.442
Sc 1.608 1.608 8.796
Cd 0.000 0.000 6.619
```

[18]
Entry from Alexandria: HfScCd2 after structural relaxation (GGA-PBE).

* crystal system: tetragonal
* space group: P4/mmm
* formation energy: -85.5 meV/atom
* energy above the most stable polymorph in this dataset: 9 meV per atom

Cell and atoms, written as extended XYZ:
```
4
Lattice="4.513 0.000 0.000 0.000 4.513 0.000 0.000 0.000 4.237" Properties=species:S:1:pos:R:3 pbc="T T T"
Hf 0.000 0.000 0.000
Sc 2.257 2.257 0.000
Cd 0.000 2.257 2.119
Cd 2.257 0.000 2.119
```

[19]
Entry from Alexandria: Hf6Sc2Cd after structural relaxation (GGA-PBE).

* crystal system: hexagonal
* space group: P-6m2
* formation energy: 60.9 meV/atom

Cell and atoms, written as extended XYZ:
```
9
Lattice="3.197 0.000 0.000 -1.598 2.769 0.000 0.000 0.000 23.388" Properties=species:S:1:pos:R:3 pbc="T T T"
Hf 0.000 0.000 1.484
Hf 0.000 0.000 6.655
Hf 0.000 0.000 16.732
Hf 0.000 0.000 21.903
Hf 0.000 1.846 9.078
Hf 0.000 1.846 14.309
Sc 0.000 1.846 3.956
Sc 0.000 1.846 19.432
Cd 0.000 0.000 11.694
```

[20]
Entry from Alexandria: HfScCd3 after structural relaxation (GGA-PBE).

* crystal system: cubic
* space group: Pm-3m
* formation energy: 909.8 meV/atom
* energy above the most stable polymorph in this dataset: 0 meV per atom

Cell and atoms, written as extended XYZ:
```
5
Lattice="5.367 0.000 0.000 0.000 5.367 0.000 0.000 0.000 5.367" Properties=species:S:1:pos:R:3 pbc="T T T"
Hf 0.000 0.000 0.000
Sc 2.684 2.684 2.684
Cd 0.000 0.000 2.684
Cd 0.000 2.684 0.000
Cd 2.684 0.000 0.000
```

[21]
Entry from Alexandria: HfScCd after structural relaxation (GGA-PBE).

* crystal system: trigonal
* space group: P3m1
* formation energy: 196.3 meV/atom
* energy above the most stable polymorph in this dataset: 342 meV per atom

Cell and atoms, written as extended XYZ:
```
3
Lattice="5.119 0.000 0.000 -2.560 4.433 0.000 0.000 0.000 2.892" Properties=species:S:1:pos:R:3 pbc="T T T"
Hf 0.000 0.000 0.000
Sc 2.560 1.478 2.880
Cd 0.000 2.956 1.438
```

[22]
Entry from Alexandria: HfScCd after structural relaxation (GGA-PBE).

* crystal system: tetragonal
* space group: P4/nmm
* formation energy: 44.2 meV/atom
* energy above the most stable polymorph in this dataset: 190 meV per atom

Cell and atoms, written as extended XYZ:
```
6
Lattice="4.326 0.000 0.000 0.000 4.326 0.000 0.000 0.000 7.568" Properties=species:S:1:pos:R:3 pbc="T T T"
Hf 1.081 3.244 0.000
Hf 3.244 1.081 0.000
Sc 1.081 1.081 2.473
Sc 3.244 3.244 5.095
Cd 1.081 1.081 5.458
Cd 3.244 3.244 2.111
```

[23]
Entry from Alexandria: Hf2Sc2Cd after structural relaxation (GGA-PBE).

* crystal system: tetragonal
* space group: P4/mbm
* formation energy: 216.6 meV/atom
* energy above the most stable polymorph in this dataset: 321 meV per atom

Cell and atoms, written as extended XYZ:
```
10
Lattice="7.540 0.000 0.000 0.000 7.540 0.000 0.000 0.000 4.103" Properties=species:S:1:pos:R:3 pbc="T T T"
Hf 1.083 2.687 0.000
Hf 2.687 6.457 0.000
Hf 4.853 1.083 0.000
Hf 6.457 4.853 0.000
Sc 1.102 4.872 2.052
Sc 2.668 1.102 2.052
Sc 4.872 6.438 2.052
Sc 6.438 2.668 2.052
Cd 0.000 0.000 2.052
Cd 3.770 3.770 2.052
```

[24]
Entry from Alexandria: HfSc4Cd5 after structural relaxation (GGA-PBE).

* crystal system: tetragonal
* space group: P4/mmm
* formation energy: -211.7 meV/atom

Cell and atoms, written as extended XYZ:
```
10
Lattice="3.523 0.000 0.000 0.000 3.523 0.000 0.000 0.000 17.671" Properties=species:S:1:pos:R:3 pbc="T T T"
Hf 0.000 0.000 0.000
Sc 0.000 0.000 3.497
Sc 0.000 0.000 7.054
Sc 0.000 0.000 10.617
Sc 0.000 0.000 14.174
Cd 1.761 1.761 1.753
Cd 1.761 1.761 5.267
Cd 1.761 1.761 8.836
Cd 1.761 1.761 12.405
Cd 1.761 1.761 15.918
```

[25]
Entry from Alexandria: Hf2ScCd after structural relaxation (GGA-PBE).

* crystal system: tetragonal
* space group: I-42d
* formation energy: 485.0 meV/atom

Cell and atoms, written as extended XYZ:
```
8
Lattice="-4.024 4.024 2.904 4.024 -4.024 2.904 4.024 4.024 -2.904" Properties=species:S:1:pos:R:3 pbc="T T T"
Hf 2.012 1.876 -0.726
Hf 2.148 -2.012 3.630
Hf 2.012 2.148 2.178
Hf 1.876 6.035 0.726
Sc 4.024 0.000 1.452
Sc 0.000 0.000 2.904
Cd 0.000 0.000 0.000
Cd 0.000 4.024 1.452
```

[26]
Entry from Alexandria: Hf2ScCd after structural relaxation (GGA-PBE).

* crystal system: tetragonal
* space group: P4/mmm
* formation energy: 20.3 meV/atom

Cell and atoms, written as extended XYZ:
```
4
Lattice="4.383 0.000 0.000 0.000 4.383 0.000 0.000 0.000 4.550" Properties=species:S:1:pos:R:3 pbc="T T T"
Hf 0.000 2.191 0.000
Hf 2.191 0.000 0.000
Sc 0.000 0.000 2.275
Cd 2.191 2.191 2.275
```

[27]
Entry from Alexandria: HfScCd4 after structural relaxation (GGA-PBE).

* crystal system: monoclinic
* space group: C2/m
* formation energy: -97.5 meV/atom
* energy above the most stable polymorph in this dataset: 0 meV per atom

Cell and atoms, written as extended XYZ:
```
6
Lattice="6.550 -1.593 0.000 6.550 1.593 0.000 -1.542 0.000 6.194" Properties=species:S:1:pos:R:3 pbc="T T T"
Hf 0.000 0.000 0.000
Sc -0.771 0.000 3.097
Cd 3.339 0.000 4.135
Cd 4.113 0.000 1.034
Cd 7.446 0.000 5.160
Cd 8.219 0.000 2.059
```